! ReGe2Pt, optimized geometry, DFT PBE; values from VASP
! * E above lowest polymorph: 0 kJ/mol of formula units
! * formation enthalpy at 0 K: 34 meV per atom
&SYSTEM
  ibrav = 0, nat = 4, ntyp = 3
/
ATOMIC_SPECIES
Re 186.21 Re.upf
Ge 72.64 Ge.upf
Pt 195.08 Pt.upf
CELL_PARAMETERS angstrom
1.480 0.855 8.751
-1.480 0.855 8.751
0.000 -1.709 8.751
ATOMIC_POSITIONS crystal
Re 0.000 0.000 0.000
Ge 0.407 0.407 0.407
Ge 0.593 0.593 0.593
Pt 0.500 0.500 0.500

! LiSb2Pb2, optimized geometry, DFT PBE; values from VASP
! * E above lowest polymorph: 79 kJ/mol of formula units
! * energy relative to the elements, uncorrected: 43 meV per atom
&SYSTEM
  ibrav = 0, nat = 10, ntyp = 3
/
ATOMIC_SPECIES
Li 6.94 Li.upf
Sb 121.76 Sb.upf
Pb 207.20 Pb.upf
CELL_PARAMETERS angstrom
8.680 0.000 0.000
0.000 8.680 0.000
0.000 0.000 4.039
ATOMIC_POSITIONS crystal
Li 0.000 0.000 0.000
Li 0.500 0.500 0.000
Sb 0.154 0.346 0.500
Sb 0.346 0.846 0.500
Sb 0.654 0.154 0.500
Sb 0.846 0.654 0.500
Pb 0.142 0.642 0.000
Pb 0.358 0.142 0.000
Pb 0.642 0.858 0.000
Pb 0.858 0.358 0.000

! La3Pm4Nd2, optimized geometry, DFT PBE; values from VASP
! * E above lowest polymorph: 0 kJ/mol of formula units
! * formation enthalpy at 0 K: 18 meV per atom
&SYSTEM
  ibrav = 0, nat = 9, ntyp = 3
/
ATOMIC_SPECIES
La 138.91 La.upf
Pm 145.00 Pm.upf
Nd 144.24 Nd.upf
CELL_PARAMETERS angstrom
6.387 0.000 0.000
-3.189 5.536 0.000
-3.165 -1.827 9.048
ATOMIC_POSITIONS crystal
La 0.000 0.000 0.000
La 0.445 0.557 0.667
La 0.555 0.443 0.333
Pm 0.113 0.890 0.667
Pm 0.333 0.668 0.000
Pm 0.667 0.332 0.000
Pm 0.887 0.110 0.333
Nd 0.222 0.777 0.333
Nd 0.778 0.223 0.667

! NaTlCdHg3, optimized geometry, DFT PBE; values from VASP
! * formation enthalpy at 0 K: -104 meV per atom
&SYSTEM
  ibrav = 0, nat = 12, ntyp = 4
/
ATOMIC_SPECIES
Na 22.99 Na.upf
Tl 204.38 Tl.upf
Cd 112.41 Cd.upf
Hg 200.59 Hg.upf
CELL_PARAMETERS angstrom
7.325 0.000 0.000
0.000 4.849 0.000
-3.108 0.000 8.901
ATOMIC_POSITIONS crystal
Na 0.129 0.250 0.287
Na 0.871 0.750 0.713
Tl 0.497 0.250 0.131
Tl 0.503 0.750 0.869
Cd 0.495 0.750 0.387
Cd 0.505 0.250 0.613
Hg 0.156 0.750 0.064
Hg 0.173 0.750 0.527
Hg 0.179 0.250 0.778
Hg 0.821 0.750 0.222
Hg 0.827 0.250 0.473
Hg 0.844 0.250 0.936

! Ge2RhPbO6, optimized geometry, DFT PBE; values from VASP
! * energy relative to the elements, uncorrected: -1148 meV per atom
&SYSTEM
  ibrav = 0, nat = 20, ntyp = 4
/
ATOMIC_SPECIES
Ge 72.64 Ge.upf
Rh 102.91 Rh.upf
Pb 207.20 Pb.upf
O 16.00 O.upf
CELL_PARAMETERS angstrom
5.560 -5.087 0.000
5.560 5.087 0.000
-1.890 0.000 5.437
ATOMIC_POSITIONS crystal
Ge 0.128 0.294 0.141
Ge 0.294 0.128 0.641
Ge 0.706 0.872 0.359
Ge 0.872 0.706 0.859
Rh 0.227 0.773 0.250
Rh 0.773 0.227 0.750
Pb 0.383 0.617 0.750
Pb 0.617 0.383 0.250
O 0.107 0.654 0.889
O 0.115 0.198 0.813
O 0.198 0.115 0.313
O 0.275 0.478 0.289
O 0.346 0.893 0.611
O 0.478 0.275 0.789
O 0.522 0.725 0.211
O 0.654 0.107 0.389
O 0.725 0.522 0.711
O 0.802 0.885 0.687
O 0.885 0.802 0.187
O 0.893 0.346 0.111

! SmGa, optimized geometry, DFT PBE; values from VASP
! * formation enthalpy at 0 K: -541 meV per atom
&SYSTEM
  ibrav = 0, nat = 8, ntyp = 2
/
ATOMIC_SPECIES
Sm 150.36 Sm.upf
Ga 69.72 Ga.upf
CELL_PARAMETERS angstrom
4.475 -3.732 0.000
4.475 3.732 0.000
0.000 0.000 5.680
ATOMIC_POSITIONS crystal
Sm 0.025 0.342 0.250
Sm 0.342 0.025 0.750
Sm 0.658 0.975 0.250
Sm 0.975 0.658 0.750
Ga 0.187 0.813 0.250
Ga 0.500 0.500 0.000
Ga 0.500 0.500 0.500
Ga 0.813 0.187 0.750